# 1
# Tb6Ni2CI3

A relaxed structure of Tb6Ni2CI3 (PBE, the Alexandria database).

a = 6.8736 Å, b = 6.8736 Å, c = 8.0036 Å
α = 98.13°, β = 98.13°, γ = 120.02°
Last column: nearest neighbours and their distance in Å.
Sites, in units of the cell vectors:
Tb: 0.9416 0.6284 0.8255  1 C 2.54, 2 Ni 2.71-2.72
Tb: 0.7445 0.7445 0.1762  1 C 2.54, 2 Ni 2.72
Tb: 0.0584 0.3716 0.1745  1 C 2.54, 2 Ni 2.71-2.72
Tb: 0.6284 0.9416 0.8255  1 C 2.54, 2 Ni 2.71-2.72
Tb: 0.2555 0.2555 0.8238  1 C 2.54, 2 Ni 2.72
Tb: 0.3716 0.0584 0.1745  1 C 2.54, 2 Ni 2.71-2.72
Ni: 0.3332 0.6668 0.0000  6 Tb 2.71-2.72
Ni: 0.6668 0.3332 0.0000  6 Tb 2.71-2.72
C: 0.0000 0.0000 0.0000  6 Tb 2.54
I: 0.1662 0.8338 0.5000  6 Tb 3.34-3.49
I: 0.8338 0.1662 0.5000  6 Tb 3.34-3.49
I: 0.5000 0.5000 0.5000  6 Tb 3.35-3.46

Results
Final energy: -5.09 eV per atom
Space-group type: C2/m (12)
Total moment: 0.000 μB/atom
Density of states at the Fermi level: 8.3 states/eV/cell



# 2
# Fe2Au

A relaxed structure of Fe2Au (PBE, the Alexandria database).

a = 2.8275 Å, b = 2.8275 Å, c = 6.2654 Å
α = 90.00°, β = 90.00°, γ = 120.00°
Last column: nearest neighbours and their distance in Å.
Sites, in units of the cell vectors:
Au: 0.0000 0.0000 0.0000  6 Fe 2.78, 6 Au 2.83
Fe: 0.3333 0.6667 0.3599  3 Fe 2.40
Fe: 0.6667 0.3333 0.6401  3 Fe 2.40

Results
Space-group type: P-3m1 (164)
Total moment: 1.819 μB/atom
E_form: 214 meV per atom
Density of states at the Fermi level: 2.1 states/eV/cell



# 3
# MgBH

A relaxed structure of MgBH (PBE, the Alexandria database).

a = 4.8469 Å, b = 3.1266 Å, c = 8.2786 Å
α = 90.00°, β = 92.09°, γ = 90.00°
Last column: nearest neighbours and their distance in Å.
Sites, in units of the cell vectors:
Mg: 0.4557 0.0000 0.8376  1 H 1.96
Mg: 0.4557 0.5000 0.3376  1 H 1.96
Mg: 0.0164 0.0000 0.1620  4 H 2.02-2.11
Mg: 0.0164 0.5000 0.6620  4 H 2.02-2.11
B: 0.5187 0.0000 0.1192  2 B 1.71
B: 0.5187 0.5000 0.6192  2 B 1.71
B: 0.6362 0.0000 0.5718  1 H 1.30
B: 0.6362 0.5000 0.0718  1 H 1.30
H: 0.0508 0.0000 0.8168  3 Mg 1.96-2.02
H: 0.0508 0.5000 0.3168  3 Mg 1.96-2.02
H: 0.8772 0.0000 0.5085  1 B 1.30
H: 0.8772 0.5000 0.0085  1 B 1.30

Results
Energy relative to the lowest polymorph listed for this composition: 62 meV/atom
Space-group type: Cm (8)
Total moment: 0.000 μB/atom
Density of states at the Fermi level: 2.0 states/eV/cell